(1)
The following is a DFT calculation (PBE) of crystalline KMgPtF6 at its relaxed geometry.

CIF file:
```
data_KMgPtF6
_symmetry_space_group_name_H-M 'C 1 2 1'
_symmetry_Int_Tables_number 5
_cell_length_a 5.6077
_cell_length_b 9.3586
_cell_length_c 5.7400
_cell_angle_alpha 90.00
_cell_angle_beta 90.97
_cell_angle_gamma 90.00
loop_
_symmetry_equiv_pos_as_xyz
'x,y,z'
'-x,y,-z'
'x+1/2,y+1/2,z'
'-x+1/2,y+1/2,-z'
loop_
_atom_site_label
_atom_site_type_symbol
_atom_site_fract_x
_atom_site_fract_y
_atom_site_fract_z
_atom_site_occupancy
K1 K 0.0000 0.0000 0.0000 1
Mg1 Mg 0.0000 0.6720 0.5000 1
Pt1 Pt 0.0000 0.3340 0.5000 1
F1 F 0.1398 0.4985 0.6818 1
F2 F 0.1610 0.8052 0.7126 1
F3 F 0.1811 0.1816 0.6798 1
```

Output
calculated volume: 301.2 Å³ per cell
formation energy without anion corrections: -2.336 eV/atom

(2)
The following is a DFT calculation (PBE) of crystalline KPuMgF6 at its relaxed geometry.

CIF file:
```
data_KPuMgF6
_symmetry_space_group_name_H-M 'P -3 1 c'
_symmetry_Int_Tables_number 163
_symmetry_space_group_name_Hall '-P 3 2c'
_cell_length_a 5.9145
_cell_length_b 5.9145
_cell_length_c 10.5753
_cell_angle_alpha 90.00
_cell_angle_beta 90.00
_cell_angle_gamma 120.00
loop_
_atom_site_label
_atom_site_type_symbol
_atom_site_fract_x
_atom_site_fract_y
_atom_site_fract_z
_atom_site_occupancy
K1 K 0.0000 0.0000 0.0000 1
Pu1 Pu 0.3333 0.6667 0.2500 1
Mg1 Mg 0.3333 0.6667 0.7500 1
F1 F 0.0341 0.3907 0.6463 1
```

Output
calculated volume: 320.4 Å³ per cell
formation energy without anion corrections: -3.377 eV/atom

(3)
The following is a DFT calculation (PBE) of crystalline KRbMgF4 at its relaxed geometry.

CIF file:
```
data_KRbMgF4
_symmetry_space_group_name_H-M 'I 4 m m'
_symmetry_Int_Tables_number 107
_symmetry_space_group_name_Hall 'I 4 -2'
_cell_length_a 4.0805
_cell_length_b 4.0805
_cell_length_c 13.6973
_cell_angle_alpha 90.00
_cell_angle_beta 90.00
_cell_angle_gamma 90.00
loop_
_atom_site_label
_atom_site_type_symbol
_atom_site_fract_x
_atom_site_fract_y
_atom_site_fract_z
_atom_site_occupancy
K1 K 0.0000 0.0000 0.0000 1
Rb1 Rb 0.0000 0.0000 0.2957 1
Mg1 Mg 0.0000 0.0000 0.6436 1
F1 F 0.0000 0.0000 0.4970 1
F2 F 0.0000 0.0000 0.7926 1
F3 F 0.0000 0.5000 0.1423 1
```

Output
calculated volume: 228.1 Å³ per cell
formation energy without anion corrections: -3.121 eV/atom

(4)
The following is a DFT calculation (PBE) of crystalline K2RbMgF5 at its relaxed geometry.

CIF file:
```
data_K2RbMgF5
_symmetry_space_group_name_H-M 'I m m m'
_symmetry_Int_Tables_number 71
_symmetry_space_group_name_Hall '-I 2 2'
_cell_length_a 4.0437
_cell_length_b 6.2379
_cell_length_c 12.3473
_cell_angle_alpha 90.00
_cell_angle_beta 90.00
_cell_angle_gamma 90.00
loop_
_atom_site_label
_atom_site_type_symbol
_atom_site_fract_x
_atom_site_fract_y
_atom_site_fract_z
_atom_site_occupancy
K1 K 0.0000 0.0000 0.2161 1
Rb1 Rb 0.0000 0.5000 0.0000 1
Mg1 Mg 0.0000 0.5000 0.5000 1
F1 F 0.0000 0.0000 0.0000 1
F2 F 0.0000 0.2733 0.3804 1
```

Output
calculated volume: 311.4 Å³ per cell
formation energy without anion corrections: -3.028 eV/atom

(5)
The following is a DFT calculation (PBE) of crystalline KRb4Mg3F12 at its relaxed geometry.

CIF file:
```
data_KRb4Mg3F12
_symmetry_space_group_name_H-M 'I m -3 m'
_symmetry_Int_Tables_number 229
_symmetry_space_group_name_Hall '-I 4 2 3'
_cell_length_a 8.6764
_cell_length_b 8.6764
_cell_length_c 8.6764
_cell_angle_alpha 90.00
_cell_angle_beta 90.00
_cell_angle_gamma 90.00
loop_
_atom_site_label
_atom_site_type_symbol
_atom_site_fract_x
_atom_site_fract_y
_atom_site_fract_z
_atom_site_occupancy
K1 K 0.0000 0.0000 0.0000 1
Rb1 Rb 0.2500 0.2500 0.2500 1
Mg1 Mg 0.0000 0.0000 0.5000 1
F1 F 0.0000 0.0000 0.2824 1
F2 F 0.0000 0.2500 0.5000 1
```

Output
calculated volume: 653.1 Å³ per cell
formation energy without anion corrections: -2.963 eV/atom

(6)
The following is a DFT calculation (PBE) of crystalline K2RbMgF at its relaxed geometry.

CIF file:
```
data_K2RbMgF
_symmetry_space_group_name_H-M 'P 4/m m m'
_symmetry_Int_Tables_number 123
_symmetry_space_group_name_Hall '-P 4 2'
_cell_length_a 5.6655
_cell_length_b 5.6655
_cell_length_c 5.8815
_cell_angle_alpha 90.00
_cell_angle_beta 90.00
_cell_angle_gamma 90.00
loop_
_atom_site_label
_atom_site_type_symbol
_atom_site_fract_x
_atom_site_fract_y
_atom_site_fract_z
_atom_site_occupancy
K1 K 0.0000 0.5000 0.0000 1
Rb1 Rb 0.0000 0.0000 0.5000 1
Mg1 Mg 0.5000 0.5000 0.5000 1
F1 F 0.0000 0.0000 0.0000 1
```

Output
calculated volume: 188.8 Å³ per cell
formation energy without anion corrections: -0.912 eV/atom
E above lowest polymorph: 0 kJ/mol of formula units

(7)
The following is a DFT calculation (PBE) of crystalline KRbMgF2 at its relaxed geometry.

CIF file:
```
data_KRbMgF2
_symmetry_space_group_name_H-M 'P 4/m m m'
_symmetry_Int_Tables_number 123
_symmetry_space_group_name_Hall '-P 4 2'
_cell_length_a 5.2638
_cell_length_b 5.2638
_cell_length_c 6.0832
_cell_angle_alpha 90.00
_cell_angle_beta 90.00
_cell_angle_gamma 90.00
loop_
_atom_site_label
_atom_site_type_symbol
_atom_site_fract_x
_atom_site_fract_y
_atom_site_fract_z
_atom_site_occupancy
K1 K 0.0000 0.0000 0.0000 1
Rb1 Rb 0.0000 0.0000 0.5000 1
Mg1 Mg 0.5000 0.5000 0.0000 1
F1 F 0.0000 0.5000 0.5000 1
```

Output
calculated volume: 168.5 Å³ per cell
formation energy without anion corrections: -1.233 eV/atom

(8)
The following is a DFT calculation (PBE) of crystalline KRb3Mg2F8 at its relaxed geometry.

CIF file:
```
data_KRb3Mg2F8
_symmetry_space_group_name_H-M 'P -3 m 1'
_symmetry_Int_Tables_number 164
_symmetry_space_group_name_Hall '-P 3 2"'
_cell_length_a 6.4041
_cell_length_b 6.4041
_cell_length_c 8.0411
_cell_angle_alpha 90.00
_cell_angle_beta 90.00
_cell_angle_gamma 120.00
loop_
_atom_site_label
_atom_site_type_symbol
_atom_site_fract_x
_atom_site_fract_y
_atom_site_fract_z
_atom_site_occupancy
K1 K 0.0000 0.0000 0.0000 1
Rb1 Rb 0.0000 0.0000 0.5000 1
Rb2 Rb 0.3333 0.6667 0.1445 1
Mg1 Mg 0.3333 0.6667 0.6994 1
F1 F 0.1784 0.3567 0.7960 1
F2 F 0.3333 0.6667 0.4682 1
```

Output
calculated volume: 285.6 Å³ per cell
formation energy without anion corrections: -3.032 eV/atom

(9)
The following is a DFT calculation (PBE) of crystalline KRbMgF2 at its relaxed geometry.

CIF file:
```
data_KRbMgF2
_symmetry_space_group_name_H-M 'P 4/m m m'
_symmetry_Int_Tables_number 123
_symmetry_space_group_name_Hall '-P 4 2'
_cell_length_a 4.6724
_cell_length_b 4.6724
_cell_length_c 6.4783
_cell_angle_alpha 90.00
_cell_angle_beta 90.00
_cell_angle_gamma 90.00
loop_
_atom_site_label
_atom_site_type_symbol
_atom_site_fract_x
_atom_site_fract_y
_atom_site_fract_z
_atom_site_occupancy
K1 K 0.0000 0.0000 0.0000 1
Rb1 Rb 0.5000 0.5000 0.0000 1
Mg1 Mg 0.0000 0.0000 0.5000 1
F1 F 0.0000 0.5000 0.5000 1
```

Output
calculated volume: 141.4 Å³ per cell
formation energy without anion corrections: -1.234 eV/atom

(10)
The following is a DFT calculation (PBE) of crystalline KRb2MgF5 at its relaxed geometry.

CIF file:
```
data_KRb2MgF5
_symmetry_space_group_name_H-M 'I m m m'
_symmetry_Int_Tables_number 71
_symmetry_space_group_name_Hall '-I 2 2'
_cell_length_a 4.0390
_cell_length_b 6.2154
_cell_length_c 13.0179
_cell_angle_alpha 90.00
_cell_angle_beta 90.00
_cell_angle_gamma 90.00
loop_
_atom_site_label
_atom_site_type_symbol
_atom_site_fract_x
_atom_site_fract_y
_atom_site_fract_z
_atom_site_occupancy
K1 K 0.0000 0.0000 0.0000 1
Rb1 Rb 0.0000 0.5000 0.2158 1
Mg1 Mg 0.0000 0.0000 0.5000 1
F1 F 0.0000 0.2320 0.3883 1
F2 F 0.0000 0.5000 0.0000 1
```

Output
calculated volume: 326.8 Å³ per cell
formation energy without anion corrections: -2.985 eV/atom

Number 1: VASP energy -4.5538 eV per atom. Number 2: VASP energy -6.5164 eV per atom. Number 3: VASP energy -4.7128 eV per atom. Number 4: VASP energy -4.5958 eV per atom. Number 5: VASP energy -4.5738 eV per atom. Number 6: VASP energy -2.2374 eV per atom. Number 7: VASP energy -2.7132 eV per atom. Number 8: VASP energy -4.6149 eV per atom. Number 9: VASP energy -2.7143 eV per atom. Number 10: VASP energy -4.5387 eV per atom.